# SrPmWO6, relaxed, DFT PBE+U
# Calculated total energy in eV/atom: -7.281
data_SrPmWO6
_chemical_formula_sum 'Sr1 Pm1 W1 O6'
_cell_length_a 5.7719
_cell_length_b 5.7719
_cell_length_c 5.1486
_cell_angle_alpha 90.00
_cell_angle_beta 90.00
_cell_angle_gamma 120.00
_space_group_name_H-M_alt 'P 3 1 2'
_space_group_IT_number 149
_space_group_name_Hall 'P 3 2'
loop_
_atom_site_label
_atom_site_type_symbol
_atom_site_fract_x
_atom_site_fract_y
_atom_site_fract_z
_atom_site_occupancy
Sr1 Sr 0.0000 0.0000 0.0000 1
Pm1 Pm 0.3333 0.6667 0.5000 1
W1 W 0.6667 0.3333 0.5000 1
O1 O 0.3876 0.0497 0.7117 1